Computed, not measured: a geometry-optimized K2BaS12O12 structure at the GGA-PBEsol level of DFT.

POSCAR file:
```
K2BaS12O12
1.0
-8.017 -3.179 3.174
5.300 -7.202 6.174
4.213 8.686 6.515
K Ba S O
4 2 24 24
Cartesian
-1.902 2.754 4.844
2.106 4.343 3.258
0.932 -4.785 4.214
-3.649 -5.596 5.134
3.223 -7.898 6.884
-5.940 -2.482 2.464
4.064 -4.178 5.517
3.833 0.821 11.547
-2.568 2.484 10.346
-2.337 -2.516 4.316
3.830 -2.774 7.127
3.940 -0.411 9.789
-2.334 1.079 8.736
-2.444 -1.284 6.074
1.903 -2.186 6.878
4.432 0.951 8.367
-0.408 0.492 8.985
-2.936 -2.646 7.496
0.675 -2.967 8.350
-1.620 -2.448 10.926
0.820 1.272 7.513
3.116 0.753 4.937
-0.048 -4.781 7.797
-0.375 -1.343 12.088
1.544 3.087 8.066
1.870 -0.352 3.775
1.177 -6.072 8.980
0.473 -2.869 13.320
0.319 4.377 6.883
1.023 1.174 2.543
-4.370 -6.637 7.491
2.921 1.907 11.199
5.866 4.942 8.373
-1.425 -3.602 4.665
-2.523 -7.632 8.790
3.316 -0.144 12.511
4.019 5.938 7.073
-1.821 -1.550 3.352
3.191 -5.324 5.789
5.182 1.320 11.829
-1.695 3.629 10.074
-3.687 -3.015 4.034
0.825 -5.835 10.370
1.275 -3.717 12.454
0.671 4.140 5.494
0.221 2.022 3.410
0.790 -7.385 8.438
1.225 -2.051 14.287
0.706 5.690 7.426
0.271 0.356 1.577
2.575 -5.752 8.685
7.387 -0.411 10.785
-1.079 4.057 7.178
-5.891 -1.284 5.078
```

=====

Computed, not measured: a geometry-optimized K4BaTi6S20O structure at the GGA-PBEsol level of DFT.

POSCAR file:
```
K4BaTi6S20O
1.0
-7.355 5.758 1.244
0.667 -1.915 -9.203
-6.225 -14.563 5.916
K Ba Ti S O
8 2 12 40 2
Cartesian
-7.290 -3.292 -3.181
-0.847 -1.119 0.171
-5.298 -8.397 -3.462
-12.408 -8.655 2.389
-10.506 -7.540 -2.530
-2.044 -4.098 -4.120
-4.171 0.829 -3.812
-9.289 -4.535 1.758
-3.966 -5.240 0.803
-8.417 -12.518 -2.830
-8.379 -8.329 3.001
-5.969 -10.627 -0.097
-4.878 -1.418 -0.462
-6.589 -1.053 -6.529
-7.177 -7.675 0.110
-9.100 -10.196 0.513
-7.175 -11.306 2.781
-5.269 -8.767 2.408
-6.078 -2.097 2.446
-3.484 -1.493 -7.155
-6.081 1.535 -0.222
-7.984 -1.005 0.155
-7.615 -9.494 -1.458
-9.568 -7.868 0.958
-4.900 -11.247 1.970
-6.642 -9.342 4.343
-4.949 -2.218 -5.205
-3.673 -1.924 1.571
-8.372 1.487 0.622
-6.639 -0.412 -1.762
-6.217 -6.129 -1.416
-11.295 -11.033 0.524
-7.351 -13.601 3.250
-3.185 -9.088 -5.749
-6.367 -5.561 -5.271
-1.254 -0.677 -7.169
-5.935 3.859 -0.689
-9.399 -2.589 -0.851
-8.873 -6.446 4.314
-5.472 -12.509 -1.446
-10.108 -8.074 4.599
-4.235 -10.872 -1.661
-4.362 -3.311 -1.788
-7.073 0.825 -5.204
-3.154 -1.657 -2.038
-8.338 -0.787 -4.954
-4.770 -8.419 0.130
-9.424 -10.612 2.983
-7.837 -12.192 0.510
-6.657 -6.677 2.183
-8.480 -1.318 2.443
-3.825 0.873 -0.409
-4.721 0.515 -7.174
-6.567 -3.086 0.358
-8.218 -5.883 -1.005
-10.563 -10.530 -1.331
-6.811 -12.424 4.847
-10.468 -3.330 4.542
-4.350 -5.796 -5.597
-2.050 -1.123 -5.325
-6.401 2.638 -2.277
-2.788 -6.431 -2.026
-7.176 -9.481 1.452
-6.070 -0.281 1.106
```

=====

Computed, not measured: a geometry-optimized K4BaTi6S20O structure at the GGA-PBEsol level of DFT.

POSCAR file:
```
K4BaTi6S20O
1.0
-7.055 5.295 2.757
-1.593 -8.524 -3.195
1.629 -6.663 16.962
K Ba Ti S O
8 2 12 40 2
Cartesian
-3.006 -5.584 3.029
-4.013 -4.309 13.495
-2.143 -4.436 8.331
-0.234 -8.941 6.378
-3.828 0.153 10.295
-5.691 -2.125 -0.288
-0.545 -2.915 -1.093
-2.413 1.811 0.943
0.407 -1.666 4.241
1.222 -4.997 12.722
-6.126 -0.391 6.775
-2.977 -0.804 6.311
-5.030 -3.162 5.582
-2.628 -10.149 9.661
-0.574 -7.793 10.389
-3.722 -7.378 10.855
-0.661 -10.451 12.167
-3.810 -10.038 12.631
-1.757 -7.680 13.360
-4.623 1.207 4.445
-6.678 -1.149 3.717
-3.529 -1.565 3.252
-0.890 -5.945 5.489
-3.231 -8.333 4.776
-4.203 -5.314 6.055
-2.441 -2.570 11.222
-5.825 -2.321 11.645
-4.467 -5.195 10.386
-5.666 -5.841 15.856
-3.325 -3.453 16.569
-2.353 -6.472 15.290
-5.041 -5.428 0.481
-1.657 -5.678 0.058
-3.015 -2.804 1.318
-4.567 -2.042 7.724
-2.452 -7.851 8.800
-1.932 -9.980 14.220
-5.087 0.087 2.304
-6.608 0.837 8.741
-0.952 -1.608 7.238
-6.217 -5.042 6.395
-2.012 -11.327 7.702
0.504 -5.831 9.619
-5.772 -6.707 9.878
0.058 -12.650 12.671
-5.597 -10.205 14.175
-0.332 -6.771 15.018
-5.476 3.355 3.934
-7.993 -2.141 2.016
-1.717 -1.265 1.758
-4.275 1.305 6.785
-2.598 -2.895 4.974
-7.379 -2.281 5.674
-0.127 -10.220 9.872
-1.775 -6.009 11.684
-4.904 -9.577 10.583
-2.591 -11.824 11.334
-4.268 -7.624 13.145
0.513 -8.237 12.444
-7.045 0.954 5.058
-5.398 -3.257 3.245
-2.269 0.311 4.346
-4.827 -0.977 5.014
-2.192 -8.915 11.510
```

=====

Computed, not measured: a geometry-optimized K4BaTa6Si4O26 structure at the GGA-PBEsol level of DFT.

POSCAR file:
```
K4BaTa6Si4O26
1.0
7.771 0.000 0.000
0.000 9.072 0.002
0.000 -4.483 7.887
K Ba Ta Si O
4 1 6 4 26
Cartesian
0.000 -2.693 4.759
3.886 6.384 4.722
3.886 0.949 7.884
0.000 5.468 0.012
3.886 1.803 3.099
1.925 -2.319 7.873
5.846 -2.319 7.873
5.846 7.990 1.876
1.925 7.990 1.876
5.833 3.507 6.028
1.938 3.507 6.028
1.634 4.511 2.648
6.137 4.511 2.648
1.634 0.071 5.230
6.137 0.071 5.230
5.944 0.798 1.372
3.886 3.577 6.149
2.182 3.575 1.445
5.589 3.575 1.445
2.203 3.977 4.066
5.568 3.977 4.066
0.000 4.521 2.659
1.782 -3.674 6.484
5.989 -3.674 6.484
5.656 6.047 2.420
2.115 6.047 2.420
3.886 2.073 0.021
0.000 -1.947 7.877
5.989 7.453 0.011
0.000 7.810 2.201
3.886 -1.007 1.813
5.656 -0.885 6.453
2.115 -0.885 6.453
2.182 -0.511 3.823
5.589 -0.511 3.823
0.000 0.077 5.245
1.828 0.798 1.372
2.203 1.568 5.467
5.568 1.568 5.467
1.782 7.453 0.011
0.000 3.346 5.752
```

=====

no.,raw formation energy (eV per formula unit),E (Ry/atom),volume (Å³/atom)
1,-32.98,-0.41649,19.9
2,-41.04,-0.43775,21.1
3,-41.02,-0.43771,21.1
4,-115.59,-0.64007,13.6